Material: LaFeSe2Br
Method: DFT, PBE
State: relaxed

abc: 5.7756 5.7756 5.7214
angles: 90.00 90.00 90.00
Site moments in Bohr magnetons follow the coordinates.
Element x y z (fractional)
Fe (0.5000, 0.5000, 0.5000)  3.39
Se (0.0000, 0.5000, 0.0000)  -0.04
Se (0.5000, 0.0000, 0.0000)  -0.04
Br (0.0000, 0.0000, 0.5000)  0.02
La (0.0000, 0.0000, 0.0000)  0.00

DFT total energy (eV/atom): -4.49
SG: P4/mmm (123)
ΔE_f (raw) (meV/atom): -84
Theoretical density (g/cm³): 3.764

***

Material: Sr2LaFeBr
Method: DFT, PBE
State: relaxed

abc: 6.7755 4.3305 6.7755
angles: 90.00 90.00 90.00
Element x y z (fractional)
Sr (0.0000, 0.0000, 0.5000)
Sr (0.5000, 0.0000, 0.0000)
Fe (0.0000, 0.5000, 0.0000)
Br (0.5000, 0.5000, 0.5000)
La (0.0000, 0.0000, 0.0000)

DFT total energy (eV/atom): -3.32
SG: P4/mmm (123)
ΔE_f (raw) (meV/atom): 362
Theoretical density (g/cm³): 3.758

***

Material: La2TiFeBr
Method: DFT, PBE
State: relaxed

abc: 5.6051 4.6047 5.6051
angles: 90.00 90.00 90.00
Site moments in Bohr magnetons follow the coordinates.
Element x y z (fractional)
Ti (0.0000, 0.5000, 0.0000)  -0.14
Fe (0.5000, 0.5000, 0.5000)  -0.07
Br (0.0000, 0.0000, 0.0000)  0.00
La (0.0000, 0.0000, 0.5000)  -0.02
La (0.5000, 0.0000, 0.0000)  -0.03

DFT total energy (eV/atom): -4.97
SG: P4/mmm (123)
ΔE_f (raw) (meV/atom): 607
Theoretical density (g/cm³): 5.296

***

Material: LiFeBr
Method: DFT, PBE
State: relaxed

abc: 4.1648 4.1648 4.1648
angles: 60.00 60.00 60.00
Site moments in Bohr magnetons follow the coordinates.
Element x y z (fractional)
Br (0.7500, 0.7500, 0.7500)  0.01
Fe (0.0000, 0.0000, 0.0000)  2.37
Li (0.5000, 0.5000, 0.5000)  -0.04

DFT total energy (eV/atom): -3.72
SG: F-43m (216)
Excess energy over the best structure of this formula in the dataset (kJ/mol of atoms): 18.2
ΔE_f (raw) (meV/atom): 293
Theoretical density (g/cm³): 4.639

***

Material: Li2FeBr
Method: DFT, PBE
State: relaxed

abc: 4.5101 4.5101 3.3529
angles: 90.00 90.00 89.91
Site moments in Bohr magnetons follow the coordinates.
Element x y z (fractional)
Br (0.5000, 0.0000, 0.5000)  0.05
Fe (0.0000, 0.5000, 0.5000)  2.94
Li (0.0000, 0.0000, 0.0000)  -0.03
Li (0.5000, 0.5000, 0.0000)  -0.03

DFT total energy (eV/atom): -3.47
SG: Cmmm (65)
Excess energy over the best structure of this formula in the dataset (kJ/mol of atoms): 13.3
ΔE_f (raw) (meV/atom): 24
Theoretical density (g/cm³): 3.643

***

Material: Li2FeBr
Method: DFT, PBE
State: relaxed

abc: 7.4928 7.4928 3.3812
angles: 76.84 76.84 25.11
Site moments in Bohr magnetons follow the coordinates.
Element x y z (fractional)
Br (0.4580, 0.4580, 0.5427)  0.00
Fe (0.1980, 0.1980, 0.3020)  3.05
Li (0.0354, 0.0354, 0.9650)  -0.02
Li (0.8086, 0.8086, 0.6903)  -0.04

DFT total energy (eV/atom): -3.52
SG: Cm (8)
Excess energy over the best structure of this formula in the dataset (kJ/mol of atoms): 8.5
ΔE_f (raw) (meV/atom): -25
Theoretical density (g/cm³): 3.172

***

Material: LiFeBr
Method: DFT, PBE
State: relaxed

abc: 6.5467 6.2250 3.2362
angles: 80.91 69.87 29.22
Site moments in Bohr magnetons follow the coordinates.
Element x y z (fractional)
Br (0.0003, 0.0003, 0.9997)  0.07
Fe (0.3407, 0.3407, 0.6593)  3.09
Li (0.6590, 0.6590, 0.3410)  -0.01

DFT total energy (eV/atom): -3.84
SG: Fmm2 (42)
Excess energy over the best structure of this formula in the dataset (kJ/mol of atoms): 6.5
ΔE_f (raw) (meV/atom): 172
Theoretical density (g/cm³): 4.124

***

Material: Li4FeBr
Method: DFT, PBE
State: relaxed

abc: 5.4604 5.4604 5.4604
angles: 60.00 60.00 60.00
Site moments in Bohr magnetons follow the coordinates.
Element x y z (fractional)
Li (0.8784, 0.3739, 0.3739)  0.02
Li (0.3739, 0.3739, 0.8784)  0.02
Li (0.3739, 0.8784, 0.3739)  0.02
Li (0.3739, 0.3739, 0.3739)  0.02
Fe (0.0000, 0.0000, 0.0000)  3.00
Br (0.7500, 0.7500, 0.7500)  0.04

DFT total energy (eV/atom): -2.65
SG: F-43m (216)
ΔE_f (raw) (meV/atom): 312
Theoretical density (g/cm³): 2.359

***

Material: Li2FeBr
Method: DFT, PBE
State: relaxed

abc: 3.2752 3.2752 8.2297
angles: 78.56 78.56 59.99
Site moments in Bohr magnetons follow the coordinates.
Element x y z (fractional)
Br (0.7500, 0.7500, 0.7500)  -0.01
Fe (0.2500, 0.2500, 0.2500)  2.98
Li (0.0121, 0.0121, 0.9651)  -0.03
Li (0.4879, 0.4879, 0.5349)  -0.03

DFT total energy (eV/atom): -3.56
SG: R-3m (166)
Excess energy over the best structure of this formula in the dataset (kJ/mol of atoms): 4.3
ΔE_f (raw) (meV/atom): -68
Theoretical density (g/cm³): 3.339

***

Material: Li2FeBr
Method: DFT, PBE
State: relaxed

abc: 4.7456 4.7456 4.7456
angles: 60.00 60.00 60.00
Site moments in Bohr magnetons follow the coordinates.
Element x y z (fractional)
Fe (0.0000, 0.0000, 0.0000)  2.95
Br (0.5000, 0.5000, 0.5000)  0.06
Li (0.2500, 0.2500, 0.2500)  -0.03
Li (0.7500, 0.7500, 0.7500)  -0.03

DFT total energy (eV/atom): -3.25
SG: Fm-3m (225)
Excess energy over the best structure of this formula in the dataset (kJ/mol of atoms): 33.7
ΔE_f (raw) (meV/atom): 236
Theoretical density (g/cm³): 3.288

***

Material: LiFe3Br9
Method: DFT, PBE
State: relaxed

abc: 11.3152 9.7856 12.7095
angles: 72.39 63.57 54.68
Site moments in Bohr magnetons follow the coordinates.
Element x y z (fractional)
Li (0.8332, 0.5542, 0.0050)  0.01
Li (0.6076, 0.0542, 0.5050)  0.01
Fe (0.8589, 0.5506, 0.6505)  3.59
Fe (0.9400, 0.0506, 0.1505)  3.59
Fe (0.9769, 0.8994, 0.8677)  3.61
Fe (0.2559, 0.3994, 0.3677)  3.61
Fe (0.6731, 0.2827, 0.6946)  3.61
Fe (0.3496, 0.7827, 0.1946)  3.61
Br (0.3891, 0.1221, 0.4435)  0.18
Br (0.0453, 0.6221, 0.9435)  0.18
Br (0.5156, 0.4437, 0.8537)  0.28
Br (0.1870, 0.9437, 0.3537)  0.28
Br (0.1816, 0.9318, 0.7452)  0.27
Br (0.1414, 0.4318, 0.2452)  0.27
Br (0.5647, 0.8142, 0.0807)  0.18
Br (0.5404, 0.3142, 0.5807)  0.18
Br (0.8514, 0.9160, 0.3271)  0.18
Br (0.9055, 0.4160, 0.8271)  0.18
Br (0.6269, 0.8123, 0.6667)  0.17
Br (0.8941, 0.3123, 0.1667)  0.17
Br (0.4514, 0.4832, 0.2572)  0.21
Br (0.8083, 0.9832, 0.7572)  0.21
Br (0.8705, 0.3558, 0.5571)  0.20
Br (0.2166, 0.8558, 0.0571)  0.20
Br (0.8006, 0.0916, 0.0291)  0.20
Br (0.0787, 0.5916, 0.5291)  0.20

DFT total energy (eV/atom): -3.87
SG: Cc (9)
ΔE_f (raw) (meV/atom): -609
Theoretical density (g/cm³): 2.892

***

Material: LiFeBr
Method: DFT, PBE
State: relaxed

abc: 5.8674 5.8674 5.8674
angles: 148.53 148.53 45.10
Site moments in Bohr magnetons follow the coordinates.
Element x y z (fractional)
Br (0.9932, 0.9932, 0.0000)  0.09
Fe (0.3440, 0.3440, 0.0000)  3.00
Li (0.6627, 0.6627, 0.0000)  -0.03

DFT total energy (eV/atom): -3.82
SG: I4mm (107)
Excess energy over the best structure of this formula in the dataset (kJ/mol of atoms): 8.4
ΔE_f (raw) (meV/atom): 192
Theoretical density (g/cm³): 4.318

***

Material: LiFeBr
Method: DFT, PBE
State: relaxed

abc: 3.2902 3.2902 5.9552
angles: 90.00 90.00 120.00
Site moments in Bohr magnetons follow the coordinates.
Element x y z (fractional)
Br (0.0000, 0.0000, 0.0067)  0.09
Fe (0.3333, 0.6667, 0.3145)  3.05
Li (0.6667, 0.3333, 0.6788)  -0.02

DFT total energy (eV/atom): -3.91
SG: P3m1 (156)
Excess energy over the best structure of this formula in the dataset (kJ/mol of atoms): 0.0
ΔE_f (raw) (meV/atom): 104
Theoretical density (g/cm³): 4.244

***

Material: Li2FeBr
Method: DFT, PBE
State: relaxed

abc: 4.5965 4.5965 4.5965
angles: 60.00 60.00 60.00
Site moments in Bohr magnetons follow the coordinates.
Element x y z (fractional)
Br (0.5000, 0.5000, 0.5000)  0.03
Fe (0.2500, 0.2500, 0.2500)  2.64
Li (0.0000, 0.0000, 0.0000)  -0.04
Li (0.7500, 0.7500, 0.7500)  -0.03

DFT total energy (eV/atom): -3.20
SG: F-43m (216)
Excess energy over the best structure of this formula in the dataset (kJ/mol of atoms): 38.9
ΔE_f (raw) (meV/atom): 291
Theoretical density (g/cm³): 3.618

***

Number 1: magnetic moment 3.646 μB per formula unit. Number 2: magnetic moment 0.000 μB per formula unit. Number 3: magnetic moment 0.417 μB per formula unit. Number 4: magnetic moment 2.218 μB per formula unit. Number 5: magnetic moment 2.988 μB per formula unit. Number 6: magnetic moment 2.867 μB per formula unit. Number 7: magnetic moment 3.132 μB per formula unit. Number 8: magnetic moment 3.428 μB per formula unit. Number 9: magnetic moment 2.665 μB per formula unit. Number 10: magnetic moment 3.000 μB per formula unit. Number 11: magnetic moment 14.000 μB per formula unit. Number 12: magnetic moment 3.014 μB per formula unit. Number 13: magnetic moment 3.052 μB per formula unit. Number 14: magnetic moment 2.524 μB per formula unit.